# Ho4Sn2C

Ho4Sn2C after structural relaxation (PBE, Alexandria via LeMat-Bulk).

Computed properties:
Energy of formation ... -3.5 eV per formula unit
Energy above the most stable polymorph in this dataset ... 4.000 kcal/mol of atoms
M_tot ... 0.0000 μB per atom

Cell and atoms, written as CIF:
```
data_Ho4Sn2C
_chemical_formula_sum 'Ho8 Sn4 C2'
_cell_length_a 6.4386
_cell_length_b 6.6826
_cell_length_c 9.1683
_cell_angle_alpha 90.00
_cell_angle_beta 109.55
_cell_angle_gamma 90.00
_space_group_name_H-M_alt 'P 1 21/m 1'
_space_group_IT_number 11
loop_
_space_group_symop_operation_xyz
'x,y,z'
'-x,-y,-z'
'-x,y+1/2,-z'
'x,-y+1/2,z'
loop_
_atom_site_label
_atom_site_type_symbol
_atom_site_fract_x
_atom_site_fract_y
_atom_site_fract_z
Ho1 Ho 0.1752 0.2500 0.0612
Ho2 Ho 0.2441 0.0009 0.7300
Ho3 Ho 0.2781 0.7500 0.3486
Sn1 Sn 0.2258 0.2500 0.4197
Sn2 Sn 0.3474 0.7500 0.0337
C1 C 0.0751 0.2500 0.8025
```